Crystalline K2CoH6O6 at its relaxed geometry. Source: the Open Quantum Materials Database, functional GGA+U.

The structure belongs to space group R-3 (No. 148, hexagonal axes); the cell edges are 6.2768, 6.2768 and 11.9269 Å and the angles 90.00°, 90.00° and 120.00°. The inequivalent atoms are K at (0.0000, 0.0000, 0.2082), Co at (0.0000, 0.0000, 0.5000), H at (0.0234, 0.4336, 0.3005) and O at (0.0560, 0.5837, 0.2585).

Its uncorrected energy is -4.935 eV per atom.